*P*
Compound: Ta2CrAu
Source: Alexandria
Functional: PBE
Structure: relaxed

Lattice parameters (Å, degrees): 4.916 4.916 5.072 83.88 83.88 33.35
Positions (direct):
Cr (0.250, 0.250, 0.250)
Ta (0.493, 0.493, 0.494)
Ta (0.007, 0.007, 0.006)
Au (0.750, 0.750, 0.750)

## Properties
spin magnetization = 0.00 μB per atom
Fermi-level density of states = 0.939 states/eV/atom
space-group type = C2/m (12)

***

*Q*
Compound: Ta2CrAu
Source: Alexandria
Functional: PBE
Structure: relaxed

Lattice parameters (Å, degrees): 9.462 9.462 9.462 17.70 17.70 17.70
Positions (direct):
Au (0.250, 0.250, 0.250)
Ta (0.496, 0.496, 0.496)
Cr (0.750, 0.750, 0.750)
Ta (0.004, 0.004, 0.004)

## Properties
spin magnetization = 0.55 μB per atom
Fermi-level density of states = 1.294 states/eV/atom
space-group type = R-3m (166)

***

*R*
Compound: Ta2CrAu
Source: Alexandria
Functional: PBE
Structure: relaxed

Lattice parameters (Å, degrees): 2.755 2.755 8.773 90.00 90.00 90.00
Positions (direct):
Cr (0.500, 0.500, 0.743)
Au (0.000, 0.000, 0.515)
Ta (0.000, 0.000, 0.987)
Ta (0.500, 0.500, 0.255)

## Properties
spin magnetization = 0.00 μB per atom
Fermi-level density of states = 0.785 states/eV/atom
space-group type = P4mm (99)

***

*S*
Compound: Ta2CrAu
Source: Alexandria
Functional: PBE
Structure: relaxed

Lattice parameters (Å, degrees): 4.912 6.363 2.959 62.70 89.76 120.63
Positions (direct):
Ta (0.000, 0.000, 0.000)
Ta (0.000, 0.500, 0.500)
Cr (0.500, 0.000, 0.500)
Au (0.500, 0.500, 0.000)

## Properties
spin magnetization = 0.47 μB per atom
Fermi-level density of states = 1.001 states/eV/atom
space-group type = C2/m (12)

***

Which of them is most stable? Easy: *S*.

***

*P*
Compound: CrTcAu2
Source: Alexandria
Functional: PBE
Structure: relaxed

Lattice parameters (Å, degrees): 3.919 3.919 4.182 90.00 90.00 90.00
Positions (direct):
Au (0.000, 0.000, 0.000)
Cr (0.500, 0.000, 0.500)
Au (0.500, 0.500, 0.000)
Tc (0.000, 0.500, 0.500)

## Properties
spin magnetization = 0.30 μB per atom
Fermi-level density of states = 1.152 states/eV/atom
space-group type = P4/mmm (123)

***

*Q*
Compound: CrTcAu2
Source: Alexandria
Functional: PBE
Structure: relaxed

Lattice parameters (Å, degrees): 2.707 2.707 8.450 90.00 90.00 90.01
Positions (direct):
Cr (0.500, 0.500, 0.250)
Tc (0.500, 0.500, 0.750)
Au (0.000, 0.000, 0.489)
Au (0.000, 0.000, 0.011)

## Properties
spin magnetization = 0.00 μB per atom
Fermi-level density of states = 1.151 states/eV/atom
space-group type = P4/mmm (123)

***

*R*
Compound: CrTcAu2
Source: Alexandria
Functional: PBE
Structure: relaxed

Lattice parameters (Å, degrees): 5.691 5.691 6.916 65.71 65.71 90.00
Positions (direct):
Cr (0.500, 0.500, 0.000)
Au (0.875, 0.861, 0.750)
Au (0.611, 0.125, 0.250)
Tc (0.000, 0.000, 0.000)
Tc (0.750, 0.250, 0.500)
Au (0.139, 0.625, 0.250)
Au (0.375, 0.389, 0.750)
Cr (0.250, 0.750, 0.500)

## Properties
spin magnetization = 0.00 μB per atom
Fermi-level density of states = 0.928 states/eV/atom
space-group type = I-42d (122)

***

Which of them is most stable? Easy: *P*.

***

*P*
Compound: CrTcAu2
Source: Alexandria
Functional: PBE
Structure: relaxed

Lattice parameters (Å, degrees): 8.645 8.645 8.645 19.93 19.93 19.93
Positions (direct):
Au (0.003, 0.003, 0.003)
Cr (0.490, 0.490, 0.490)
Au (0.243, 0.243, 0.243)
Tc (0.763, 0.763, 0.763)

## Properties
spin magnetization = 0.00 μB per atom
Fermi-level density of states = 0.530 states/eV/atom
space-group type = R3m (160)

***

*Q*
Compound: CrTcAu2
Source: Alexandria
Functional: PBE
Structure: relaxed

Lattice parameters (Å, degrees): 2.749 2.749 9.158 90.00 90.00 112.33
Positions (direct):
Au (0.000, 0.000, 0.989)
Tc (0.500, 0.500, 0.718)
Cr (0.000, 0.000, 0.522)
Au (0.500, 0.500, 0.271)

## Properties
spin magnetization = 0.00 μB per atom
Fermi-level density of states = 0.809 states/eV/atom
space-group type = Cmm2 (35)

***

*R*
Compound: CrTcAu2
Source: Alexandria
Functional: PBE
Structure: relaxed

Lattice parameters (Å, degrees): 2.932 2.900 8.079 68.83 90.00 90.00
Positions (direct):
Tc (0.500, 0.794, 0.708)
Au (0.000, 0.010, 0.989)
Au (0.500, 0.228, 0.273)
Cr (0.000, 0.467, 0.531)

## Properties
spin magnetization = 0.25 μB per atom
Fermi-level density of states = 0.693 states/eV/atom
space-group type = Pm (6)

***

Which of them is most stable? Easy: *R*.